Ta3BOs: optimized geometry, PBE-GGA.

For the formation energy, the calculation gives 1.942 eV per atom.

Lattice parameters (Å, degrees): 4.8167 4.8167 4.8167 90.00 90.00 90.00
With the nearest neighbours (Å) after each atom.
Fractional coordinates of all 5 atoms:
1 B 0.5000 0.5000 0.5000  12 Ta 3.41
2 Os 0.0000 0.0000 0.0000  6 Ta 2.41
3 Ta 0.0000 0.5000 0.0000  2 Os 2.41
4 Ta 0.0000 0.0000 0.5000  2 Os 2.41
5 Ta 0.5000 0.0000 0.0000  2 Os 2.41

Cs2NbSnCl6: optimized geometry, PBE-GGA.

The value obtained for the formation energy without anion corrections is -1.342 eV per atom.

Lattice parameters (Å, degrees): 7.6677 7.6677 7.6658 59.99 59.99 90.00
With the nearest neighbours (Å) after each atom.
Fractional coordinates of all 10 atoms:
1 Cs 0.7500 0.2500 0.5000  12 Cl 3.83-3.84
2 Cs 0.2500 0.7500 0.5000  12 Cl 3.83-3.84
3 Nb 0.5000 0.5000 0.0000  6 Cl 2.59
4 Sn 0.0000 0.0000 0.0000  6 Cl 2.83
5 Cl 0.2610 0.2610 0.4780  1 Nb 2.59, 1 Sn 2.83
6 Cl 0.7390 0.7390 0.5220  1 Nb 2.59, 1 Sn 2.83
7 Cl 0.2611 0.2611 0.0000  1 Nb 2.59, 1 Sn 2.83
8 Cl 0.7389 0.7389 0.0000  1 Nb 2.59, 1 Sn 2.83
9 Cl 0.7389 0.2611 0.0000  1 Nb 2.59, 1 Sn 2.83
10 Cl 0.2611 0.7389 0.0000  1 Nb 2.59, 1 Sn 2.83

Ca2HoPb9: optimized geometry, PBE-GGA.

For the formation energy, the calculation gives -0.306 eV per atom.

Lattice parameters (Å, degrees): 4.9113 4.9113 14.7555 90.00 90.00 90.00
With the nearest neighbours (Å) after each atom.
Fractional coordinates of all 12 atoms:
1 Ca 0.0000 0.0000 0.3308  12 Pb 3.47-3.50
2 Ca 0.0000 0.0000 0.6692  12 Pb 3.47-3.50
3 Ho 0.0000 0.0000 0.0000  12 Pb 3.45-3.47
4 Pb 0.5000 0.5000 0.0000  8 Pb 3.45, 4 Ho 3.47
5 Pb 0.5000 0.5000 0.3325  4 Ca 3.47, 8 Pb 3.48-3.49
6 Pb 0.5000 0.5000 0.6675  4 Ca 3.47, 8 Pb 3.48-3.49
7 Pb 0.5000 0.0000 0.1646  8 Pb 3.45-3.49, 2 Ho 3.45, 2 Ca 3.47
8 Pb 0.5000 0.0000 0.5000  8 Pb 3.47-3.48, 4 Ca 3.50
9 Pb 0.5000 0.0000 0.8354  8 Pb 3.45-3.49, 2 Ho 3.45, 2 Ca 3.47
10 Pb 0.0000 0.5000 0.1646  8 Pb 3.45-3.49, 2 Ho 3.45, 2 Ca 3.47
11 Pb 0.0000 0.5000 0.5000  8 Pb 3.47-3.48, 4 Ca 3.50
12 Pb 0.0000 0.5000 0.8354  8 Pb 3.45-3.49, 2 Ho 3.45, 2 Ca 3.47

Ba2PtSe: optimized geometry, PBE-GGA.

The value obtained for the formation energy without anion corrections is -1.325 eV per atom.

Lattice parameters (Å, degrees): 8.0835 8.0835 8.0835 33.41 33.41 33.41
With the nearest neighbours (Å) after each atom.
Fractional coordinates of all 4 atoms:
1 Se 0.7500 0.7500 0.7500  6 Ba 3.32
2 Ba 0.9978 0.9978 0.9978  3 Pt 3.26, 3 Se 3.32
3 Ba 0.5022 0.5022 0.5022  3 Pt 3.26, 3 Se 3.32
4 Pt 0.2500 0.2500 0.2500  6 Ba 3.26

Rb3TmF7: optimized geometry, PBE-GGA.

The value obtained for the formation energy without anion corrections is -3.048 eV per atom.

Lattice parameters (Å, degrees): 6.8137 6.8137 6.5565 62.51 62.51 92.39
With the nearest neighbours (Å) after each atom.
Fractional coordinates of all 11 atoms:
1 Rb 0.7592 0.2230 0.5124  6 F 2.81-3.02
2 Rb 0.4557 0.4557 0.0445  5 F 2.76-2.85
3 Rb 0.2230 0.7592 0.5124  6 F 2.81-3.02
4 Tm 0.9401 0.9401 0.0601  7 F 2.14-2.30
5 F 0.1011 0.1011 0.1823  1 Tm 2.14
6 F 0.6777 0.1160 0.1290  1 Tm 2.18
7 F 0.0845 0.2954 0.6590  1 F 2.07, 1 Tm 2.30
8 F 0.1160 0.6777 0.1290  1 Tm 2.18
9 F 0.6636 0.6636 0.4719  1 Tm 2.17
10 F 0.2954 0.0845 0.6590  1 F 2.07, 1 Tm 2.30
11 F 0.8086 0.8086 0.8904  1 Tm 2.15

K2NpAg2Se4: optimized geometry, PBE-GGA.

The value obtained for the formation energy without anion corrections is -0.898 eV per atom.

Lattice parameters (Å, degrees): 4.2565 7.9858 8.0105 109.39 105.41 90.00
With the nearest neighbours (Å) after each atom.
Fractional coordinates of all 9 atoms:
1 K 0.1354 0.5739 0.2709  7 Se 3.39-3.56, 3 Ag 3.70-3.76
2 K 0.8646 0.4261 0.7291  7 Se 3.39-3.56, 3 Ag 3.70-3.76
3 Np 0.0000 0.0000 0.0000  6 Se 2.86-2.89
4 Ag 0.6805 0.9827 0.3609  4 Se 2.65-2.81
5 Ag 0.3195 0.0173 0.6391  4 Se 2.65-2.81
6 Se 0.1934 0.2000 0.3868  3 Ag 2.71-2.81, 1 Np 2.86
7 Se 0.8066 0.8000 0.6132  3 Ag 2.71-2.81, 1 Np 2.86
8 Se 0.5078 0.7611 0.0155  1 Ag 2.65, 2 Np 2.89
9 Se 0.4922 0.2389 0.9845  1 Ag 2.65, 2 Np 2.89